A relaxed TaReBi crystal, computed with GGA-PBE.

Distance to the lowest polymorph of the same formula: 360 meV per atom
Energy: -8.525 eV per atom

Unit cell a=6.450 b=6.450 c=6.450 alpha=90.00 beta=90.00 gamma=90.00
Space group F-43m (No. 216)
Unique sites:
Ta 0.000 0.000 0.000 x4
Re 0.250 0.250 0.250 x4
Bi 0.250 0.250 0.750 x4